1.
The following is a DFT calculation (PBE) of a relaxed structure of Tc2RhAu.

Results
**ΔE to the lowest computed polymorph**: 0.42 eV/f.u.
**DOS(E_F)**: 3.676 states/eV per cell

Cell: 2.719 2.719 8.198 Å, 90.00 90.00 90.00°
Space group P4/mmm (No. 123)
Asymmetric unit:
Tc 0.000 0.000 0.237
Rh 0.500 0.500 0.000
Au 0.500 0.500 0.500

2.
The following is a DFT calculation (PBE) of a relaxed structure of Tc2RhAu.

Results
**ΔE to the lowest computed polymorph**: 0.52 eV/f.u.
**DOS(E_F)**: 14.680 states/eV per cell

Cell: 2.7659 2.7659 27.6233 Å, 90.00 90.00 120.00°
Space group R-3m (No. 166, hexagonal axes)
Asymmetric unit:
Tc 0.0000 0.0000 0.2456
Rh 0.0000 0.0000 0.5000
Au 0.0000 0.0000 0.0000

3.
The following is a DFT calculation (PBE) of a relaxed structure of TcRh2Au.

Results
**ΔE to the lowest computed polymorph**: 0.88 eV/f.u.
**DOS(E_F)**: 11.572 states/eV per cell

Cell: 5.589 7.752 2.785 Å, 90.00 90.00 90.00°
Space group Cmmm (No. 65)
Asymmetric unit:
Tc 0.000 0.000 0.000
Rh 0.250 0.250 0.500
Au 0.000 0.500 0.000

Question: Look up the ΔE to the lowest computed polymorph of the second one.
Answer: 0.52 eV/f.u.

Question: Among the records above, which one has the highest ΔE to the lowest computed polymorph?
Answer: TcRh2Au

Question: The lowest ΔE to the lowest computed polymorph belongs to which entry?
Answer: number 1

Question: Which of these has the lowest DOS(E_F)?
Answer: number 1